Record 1
A plane-wave DFT calculation with PBE was carried out for a geometry-optimized FeOsPb2 structure.

Output
The magnetization comes out at 0.4997 μB/atom. Its final energy is -6.1730 eV/atom. The calculated formation energy is 604 meV/atom. The offset from the most stable computed form is 66.0 kJ/mol of formula units.

Cell: 4.085 4.071 9.948 Å, 90.00 90.00 90.00°
Sites, in units of the cell vectors:
Fe 0.000 0.000 0.000
Fe 0.000 0.500 0.500
Os 0.500 0.000 0.120
Os 0.500 0.500 0.620
Pb 0.000 0.000 0.712
Pb 0.000 0.500 0.212
Pb 0.500 0.000 0.413
Pb 0.500 0.500 0.913

Record 2
A plane-wave DFT calculation with PBE was carried out for a geometry-optimized FeOs3Pb structure.

Output
The magnetization comes out at 0.0000 μB/atom. Its final energy is -7.5040 eV/atom. The calculated formation energy is 1668 meV/atom.

Cell: 4.505 4.505 4.505 Å, 90.00 90.00 90.00°
Sites, in units of the cell vectors:
Fe 0.000 0.000 0.000
Os 0.000 0.000 0.500
Os 0.000 0.500 0.000
Os 0.500 0.000 0.000
Pb 0.500 0.500 0.500

Record 3
A plane-wave DFT calculation with PBE was carried out for a geometry-optimized Fe3OsPb structure.

Output
The magnetization comes out at 1.8151 μB/atom. Its final energy is -6.8481 eV/atom. The calculated formation energy is 1217 meV/atom. The offset from the most stable computed form is 0.0 kJ/mol of formula units.

Cell: 4.678 4.678 4.678 Å, 90.00 90.00 90.00°
Sites, in units of the cell vectors:
Fe 0.000 0.000 0.500
Fe 0.000 0.500 0.000
Fe 0.500 0.000 0.000
Os 0.000 0.000 0.000
Pb 0.500 0.500 0.500

Record 4
A plane-wave DFT calculation with PBE was carried out for a geometry-optimized FeOsPb structure.

Output
The magnetization comes out at 0.8781 μB/atom. Its final energy is -6.9675 eV/atom. The calculated formation energy is 833 meV/atom. The offset from the most stable computed form is 33.1 kJ/mol of formula units.

Cell: 3.056 3.056 6.625 Å, 90.00 90.00 120.00°
Sites, in units of the cell vectors:
Fe 0.000 0.000 0.000
Os 0.667 0.333 0.258
Pb 0.333 0.667 0.635

Record 5
A plane-wave DFT calculation with PBE was carried out for a geometry-optimized FeOsPb2 structure.

Output
The magnetization comes out at 0.8861 μB/atom. Its final energy is -5.7493 eV/atom. The calculated formation energy is 1028 meV/atom. The offset from the most stable computed form is 229.5 kJ/mol of formula units.

Cell: 6.883 6.883 6.883 Å, 90.00 90.00 90.00°
Sites, in units of the cell vectors:
Fe 0.000 0.000 0.000
Fe 0.000 0.500 0.500
Fe 0.500 0.000 0.500
Fe 0.500 0.500 0.000
Os 0.250 0.250 0.750
Os 0.250 0.750 0.250
Os 0.750 0.250 0.250
Os 0.750 0.750 0.750
Pb 0.000 0.000 0.500
Pb 0.000 0.500 0.000
Pb 0.250 0.250 0.250
Pb 0.250 0.750 0.750
Pb 0.500 0.000 0.000
Pb 0.500 0.500 0.500
Pb 0.750 0.250 0.750
Pb 0.750 0.750 0.250

Record 6
A plane-wave DFT calculation with PBE was carried out for a geometry-optimized FeOsPb2 structure.

Output
The magnetization comes out at 0.7135 μB/atom. Its final energy is -5.8328 eV/atom. The calculated formation energy is 944 meV/atom. The offset from the most stable computed form is 197.3 kJ/mol of formula units.

Cell: 8.757 3.288 5.604 Å, 90.00 101.45 90.00°
Sites, in units of the cell vectors:
Fe 0.000 0.000 0.000
Fe 0.500 0.500 0.000
Os 0.000 0.500 0.500
Os 0.500 0.000 0.500
Pb 0.248 0.000 0.748
Pb 0.252 0.500 0.252
Pb 0.748 0.500 0.748
Pb 0.752 0.000 0.252

Record 7
A plane-wave DFT calculation with PBE was carried out for a geometry-optimized FeOsPb structure.

Output
The magnetization comes out at 0.9122 μB/atom. Its final energy is -6.9329 eV/atom. The calculated formation energy is 867 meV/atom. The offset from the most stable computed form is 43.1 kJ/mol of formula units.

Cell: 4.277 4.277 3.333 Å, 90.00 90.00 120.00°
Sites, in units of the cell vectors:
Fe 0.000 0.000 0.000
Os 0.667 0.333 0.059
Pb 0.333 0.667 0.536

Record 8
A plane-wave DFT calculation with PBE was carried out for a geometry-optimized FeOsPb2 structure.

Output
The magnetization comes out at 0.6446 μB/atom. Its final energy is -5.8697 eV/atom. The calculated formation energy is 908 meV/atom. The offset from the most stable computed form is 183.0 kJ/mol of formula units.

Cell: 3.351 3.345 6.919 Å, 90.00 92.16 90.00°
Sites, in units of the cell vectors:
Fe 0.000 0.000 0.000
Os 0.000 0.000 0.500
Pb 0.489 0.500 0.253
Pb 0.511 0.500 0.747

Record 9
A plane-wave DFT calculation with PBE was carried out for a geometry-optimized FeOsPb2 structure.

Output
The magnetization comes out at 0.7699 μB/atom. Its final energy is -6.0424 eV/atom. The calculated formation energy is 735 meV/atom. The offset from the most stable computed form is 116.4 kJ/mol of formula units.

Cell: 3.186 4.621 11.933 Å, 90.00 90.00 90.00°
Sites, in units of the cell vectors:
Fe 0.000 0.000 0.000
Fe 0.500 0.500 0.500
Os 0.000 0.500 0.652
Os 0.500 0.000 0.152
Pb 0.000 0.000 0.405
Pb 0.000 0.500 0.188
Pb 0.500 0.000 0.688
Pb 0.500 0.500 0.905

Record 10
A plane-wave DFT calculation with PBE was carried out for a geometry-optimized FeOsPb2 structure.

Output
The magnetization comes out at 0.5706 μB/atom. Its final energy is -6.3440 eV/atom. The calculated formation energy is 433 meV/atom. The offset from the most stable computed form is 0.0 kJ/mol of formula units.

Cell: 3.154 3.154 8.726 Å, 90.00 90.00 90.00°
Sites, in units of the cell vectors:
Fe 0.000 0.000 0.000
Os 0.500 0.500 0.134
Pb 0.000 0.000 0.374
Pb 0.500 0.500 0.772

Record 11
A plane-wave DFT calculation with PBE was carried out for a geometry-optimized FeOsPb2 structure.

Output
The magnetization comes out at 0.0000 μB/atom. Its final energy is -5.8107 eV/atom. The calculated formation energy is 967 meV/atom. The offset from the most stable computed form is 205.8 kJ/mol of formula units.

Cell: 6.637 6.637 6.637 Å, 90.00 90.00 90.00°
Sites, in units of the cell vectors:
Fe 0.000 0.000 0.000
Fe 0.000 0.500 0.500
Fe 0.500 0.000 0.500
Fe 0.500 0.500 0.000
Os 0.000 0.000 0.500
Os 0.000 0.500 0.000
Os 0.500 0.000 0.000
Os 0.500 0.500 0.500
Pb 0.250 0.250 0.250
Pb 0.250 0.250 0.750
Pb 0.250 0.750 0.250
Pb 0.250 0.750 0.750
Pb 0.750 0.250 0.250
Pb 0.750 0.250 0.750
Pb 0.750 0.750 0.250
Pb 0.750 0.750 0.750

Record 12
A plane-wave DFT calculation with PBE was carried out for a geometry-optimized FeOsPb2 structure.

Output
The magnetization comes out at 0.7372 μB/atom. Its final energy is -5.8015 eV/atom. The calculated formation energy is 976 meV/atom. The offset from the most stable computed form is 209.4 kJ/mol of formula units.

Cell: 4.117 4.117 9.229 Å, 90.00 90.00 90.00°
Sites, in units of the cell vectors:
Fe 0.000 0.000 0.000
Fe 0.500 0.500 0.500
Os 0.000 0.500 0.750
Os 0.500 0.000 0.250
Pb 0.000 0.000 0.500
Pb 0.000 0.500 0.250
Pb 0.500 0.000 0.750
Pb 0.500 0.500 0.000

Record 13
A plane-wave DFT calculation with PBE was carried out for a geometry-optimized FeTc2OsPb structure.

Output
The magnetization comes out at 0.6361 μB/atom. Its final energy is -5.7994 eV/atom. The calculated formation energy is 3027 meV/atom.

Cell: 4.879 4.879 4.550 Å, 90.00 90.00 90.00°
Sites, in units of the cell vectors:
Fe 0.000 0.000 0.000
Tc 0.000 0.500 0.500
Tc 0.500 0.000 0.500
Os 0.500 0.500 0.000
Pb 0.000 0.000 0.500

Record 14
A plane-wave DFT calculation with PBE was carried out for a geometry-optimized FeTeOsPb2 structure.

Output
The magnetization comes out at 0.9692 μB/atom. Its final energy is -4.2552 eV/atom. The formation energy without anion corrections is 1795.0 meV per atom.

Cell: 5.918 5.918 4.640 Å, 90.00 90.00 90.00°
Sites, in units of the cell vectors:
Fe 0.000 0.000 0.000
Te 0.000 0.000 0.500
Os 0.500 0.500 0.000
Pb 0.000 0.500 0.500
Pb 0.500 0.000 0.500

Record 15
A plane-wave DFT calculation with PBE was carried out for a geometry-optimized YFeOsPb2 structure.

Output
The magnetization comes out at 0.5635 μB/atom. Its final energy is -5.9445 eV/atom. The calculated formation energy is 770 meV/atom.

Cell: 5.232 5.232 5.360 Å, 90.00 90.00 90.00°
Sites, in units of the cell vectors:
Y 0.000 0.000 0.000
Fe 0.500 0.500 0.000
Os 0.000 0.000 0.500
Pb 0.000 0.500 0.500
Pb 0.500 0.000 0.500

Record 16
A plane-wave DFT calculation with PBE was carried out for a geometry-optimized Fe2Os2Pd structure.

Output
The magnetization comes out at 0.0000 μB/atom. Its final energy is -8.6706 eV/atom. The calculated formation energy is 245 meV/atom.

Cell: 7.110 7.110 2.634 Å, 90.00 90.00 90.00°
Sites, in units of the cell vectors:
Fe 0.121 0.379 0.000
Fe 0.379 0.879 0.000
Fe 0.621 0.121 0.000
Fe 0.879 0.621 0.000
Os 0.171 0.671 0.500
Os 0.329 0.171 0.500
Os 0.671 0.829 0.500
Os 0.829 0.329 0.500
Pd 0.000 0.000 0.000
Pd 0.500 0.500 0.000

Record 17
A plane-wave DFT calculation with PBE was carried out for a geometry-optimized FeOsPd3 structure.

Output
The magnetization comes out at 1.2676 μB/atom. Its final energy is -5.5912 eV/atom. The calculated formation energy is 1463 meV/atom. The offset from the most stable computed form is 0.0 kJ/mol of formula units.

Cell: 4.509 4.509 4.509 Å, 90.00 90.00 90.00°
Sites, in units of the cell vectors:
Fe 0.000 0.000 0.000
Os 0.500 0.500 0.500
Pd 0.000 0.000 0.500
Pd 0.000 0.500 0.000
Pd 0.500 0.000 0.000

Record 18
A plane-wave DFT calculation with PBE was carried out for a geometry-optimized Fe3OsPd structure.

Output
The magnetization comes out at 1.1856 μB/atom. Its final energy is -6.9367 eV/atom. The calculated formation energy is 1425 meV/atom. The offset from the most stable computed form is 0.0 kJ/mol of formula units.

Cell: 4.457 4.457 4.457 Å, 90.00 90.00 90.00°
Sites, in units of the cell vectors:
Fe 0.000 0.000 0.500
Fe 0.000 0.500 0.000
Fe 0.500 0.000 0.000
Os 0.000 0.000 0.000
Pd 0.500 0.500 0.500

Record 19
A plane-wave DFT calculation with PBE was carried out for a geometry-optimized FeSbOs2Pd structure.

Output
The magnetization comes out at 0.0000 μB/atom. Its final energy is -6.7391 eV/atom. The formation energy without anion corrections is 1308.4 meV per atom.

Cell: 4.407 4.407 4.728 Å, 90.00 90.00 90.00°
Sites, in units of the cell vectors:
Fe 0.000 0.000 0.000
Sb 0.500 0.500 0.500
Os 0.000 0.500 0.000
Os 0.500 0.000 0.000
Pd 0.000 0.000 0.500

Record 20
A plane-wave DFT calculation with PBE was carried out for a geometry-optimized PmPuFeOs structure.

Output
The magnetization comes out at 0.6338 μB/atom. Its final energy is -9.5948 eV/atom. The calculated formation energy is 99 meV/atom.

Cell: 6.861 6.861 6.861 Å, 90.00 90.00 90.00°
Sites, in units of the cell vectors:
Pm 0.000 0.000 0.000
Pm 0.000 0.500 0.500
Pm 0.500 0.000 0.500
Pm 0.500 0.500 0.000
Pu 0.000 0.000 0.500
Pu 0.000 0.500 0.000
Pu 0.500 0.000 0.000
Pu 0.500 0.500 0.500
Fe 0.250 0.250 0.750
Fe 0.250 0.750 0.250
Fe 0.750 0.250 0.250
Fe 0.750 0.750 0.750
Os 0.250 0.250 0.250
Os 0.250 0.750 0.750
Os 0.750 0.250 0.750
Os 0.750 0.750 0.250